VASP calculation (PBE) on crystalline NpPb6O12 at its relaxed geometry.

Cell lengths 6.906, 6.906, 6.906 Å; angles 99.62, 99.62, 99.62 degrees
Each line ends with the local moment (μB).
Fractional positions:
Np: 0.000 0.000 0.000  0.28
Pb: 0.141 0.327 0.599  0.01
Pb: 0.673 0.401 0.859  0.01
Pb: 0.401 0.859 0.673  0.01
Pb: 0.859 0.673 0.401  0.01
Pb: 0.327 0.599 0.141  0.01
Pb: 0.599 0.141 0.327  0.01
O: 0.411 0.175 0.590  0.03
O: 0.175 0.590 0.411  0.03
O: 0.590 0.411 0.175  0.03
O: 0.589 0.825 0.410  0.03
O: 0.825 0.410 0.589  0.03
O: 0.410 0.589 0.825  0.03
O: 0.048 0.883 0.723  0.00
O: 0.277 0.952 0.117  0.00
O: 0.117 0.277 0.952  0.00
O: 0.952 0.117 0.277  0.00
O: 0.723 0.048 0.883  0.00
O: 0.883 0.723 0.048  0.00

crystal system = trigonal
D(E_F) = 13.90 states/eV/cell
symmetry = No. 148
formation energy from raw total energies = -1280 meV per atom